Entry from Alexandria: an optimized crystal structure of Er2Ag2Hg3 (PBE).

```
data_Er2Ag2Hg3
_chemical_formula_sum 'Er2 Ag2 Hg3'
_cell_length_a 4.9181
_cell_length_b 3.3433
_cell_length_c 10.1579
_cell_angle_alpha 90.00
_cell_angle_beta 103.72
_cell_angle_gamma 90.00
_symmetry_space_group_name_H-M 'P 1 2/m 1'
_symmetry_Int_Tables_number 10
loop_
_symmetry_equiv_pos_as_xyz
'x,y,z'
'-x,-y,-z'
'-x,y,-z'
'x,-y,z'
loop_
_atom_site_label
_atom_site_type_symbol
_atom_site_fract_x
_atom_site_fract_y
_atom_site_fract_z
Er1 Er 0.1420 0.0000 0.2836
Ag1 Ag 0.4295 0.5000 0.8561
Hg1 Hg 0.0000 0.5000 0.0000
Hg2 Hg 0.2872 0.5000 0.5753
```

## Properties
Its density of states at the Fermi level is 0.510 states/eV per atom. The formation energy is -0.253 eV/atom.


Entry from Alexandria: an optimized crystal structure of ZrHBr (PBE).

```
data_ZrHBr
_chemical_formula_sum 'Zr2 H2 Br2'
_cell_length_a 3.4345
_cell_length_b 3.4345
_cell_length_c 10.4361
_cell_angle_alpha 90.00
_cell_angle_beta 90.00
_cell_angle_gamma 120.00
_symmetry_space_group_name_H-M 'P -3 m 1'
_symmetry_Int_Tables_number 164
_symmetry_space_group_name_Hall '-P 3 2"'
loop_
_atom_site_label
_atom_site_type_symbol
_atom_site_fract_x
_atom_site_fract_y
_atom_site_fract_z
Zr1 Zr 0.3333 0.6667 0.1407
H1 H 0.3333 0.6667 0.9432
Br1 Br 0.3333 0.6667 0.6757
```

## Properties
Its density of states at the Fermi level is 0.194 states/eV per atom. The calculation puts the uncorrected energy at -5.359 eV per atom.


Entry from Alexandria: an optimized crystal structure of Li2Ac2SnPd6 (PBE).

```
data_Li2Ac2SnPd6
_chemical_formula_sum 'Li6 Ac6 Sn3 Pd18'
_cell_length_a 6.7436
_cell_length_b 6.7436
_cell_length_c 18.2505
_cell_angle_alpha 90.00
_cell_angle_beta 90.00
_cell_angle_gamma 120.00
_symmetry_space_group_name_H-M 'R -3 m'
_symmetry_Int_Tables_number 166
_symmetry_space_group_name_Hall '-R 3 2"'
loop_
_atom_site_label
_atom_site_type_symbol
_atom_site_fract_x
_atom_site_fract_y
_atom_site_fract_z
Li1 Li 0.0000 0.0000 0.0654
Ac1 Ac 0.0000 0.0000 0.2418
Sn1 Sn 0.0000 0.0000 0.5000
Pd1 Pd 0.0568 0.5284 0.2864
```

## Properties
Its density of states at the Fermi level is 0.773 states/eV per atom. The formation energy is -0.470 eV/atom.


Entry from Alexandria: an optimized crystal structure of CaAlSN2 (PBE).

```
data_CaAlSN2
_chemical_formula_sum 'Ca1 Al1 S1 N2'
_cell_length_a 4.4984
_cell_length_b 4.4984
_cell_length_c 5.5229
_cell_angle_alpha 90.00
_cell_angle_beta 90.00
_cell_angle_gamma 90.00
_symmetry_space_group_name_H-M 'P 4/m m m'
_symmetry_Int_Tables_number 123
_symmetry_space_group_name_Hall '-P 4 2'
loop_
_atom_site_label
_atom_site_type_symbol
_atom_site_fract_x
_atom_site_fract_y
_atom_site_fract_z
Ca1 Ca 0.0000 0.0000 0.0000
Al1 Al 0.5000 0.5000 0.5000
S1 S 0.0000 0.0000 0.5000
N1 N 0.0000 0.5000 0.0000
```

## Properties
The raw formation energy comes out at 1267 meV per atom. As for the excess energy over the best structure of this formula in the dataset: 1.483 eV per atom. Its density of states at the Fermi level is 0.511 states/eV per atom.


Entry from Alexandria: an optimized crystal structure of PrEr4Sc3 (PBE).

```
data_PrEr4Sc3
_chemical_formula_sum 'Pr2 Er8 Sc6'
_cell_length_a 11.6538
_cell_length_b 12.5556
_cell_length_c 3.3642
_cell_angle_alpha 90.00
_cell_angle_beta 106.69
_cell_angle_gamma 90.00
_symmetry_space_group_name_H-M 'C 1 2/m 1'
_symmetry_Int_Tables_number 12
loop_
_symmetry_equiv_pos_as_xyz
'x,y,z'
'-x,-y,-z'
'-x,y,-z'
'x,-y,z'
'x+1/2,y+1/2,z'
'-x+1/2,-y+1/2,-z'
'-x+1/2,y+1/2,-z'
'x+1/2,-y+1/2,z'
loop_
_atom_site_label
_atom_site_type_symbol
_atom_site_fract_x
_atom_site_fract_y
_atom_site_fract_z
Pr1 Pr 0.0000 0.0000 0.0000
Er1 Er 0.2396 0.3644 0.2396
Sc1 Sc 0.0000 0.2634 0.5000
Sc2 Sc 0.0000 0.5000 0.0000
```

## Properties
As for the excess energy over the best structure of this formula in the dataset: 0.105 eV per atom. Its density of states at the Fermi level is 1.829 states/eV per atom. The formation energy is 0.133 eV/atom.


Entry from Alexandria: an optimized crystal structure of AcAlZnIr (PBE).

```
data_AcAlZnIr
_chemical_formula_sum 'Ac3 Al3 Zn3 Ir3'
_cell_length_a 4.3303
_cell_length_b 4.3303
_cell_length_c 17.0018
_cell_angle_alpha 90.00
_cell_angle_beta 90.00
_cell_angle_gamma 120.00
_symmetry_space_group_name_H-M 'R 3 m'
_symmetry_Int_Tables_number 160
_symmetry_space_group_name_Hall 'R 3 -2"'
loop_
_atom_site_label
_atom_site_type_symbol
_atom_site_fract_x
_atom_site_fract_y
_atom_site_fract_z
Ac1 Ac 0.0000 0.0000 0.0000
Al1 Al 0.0000 0.0000 0.2020
Zn1 Zn 0.0000 0.0000 0.8077
Ir1 Ir 0.0000 0.0000 0.5405
```

## Properties
Its density of states at the Fermi level is 0.523 states/eV per atom. The formation energy is -0.531 eV/atom.


Entry from Alexandria: an optimized crystal structure of K4BiF10 (PBE).

```
data_K4BiF10
_chemical_formula_sum 'K8 Bi2 F20'
_cell_length_a 9.6688
_cell_length_b 9.6688
_cell_length_c 5.8535
_cell_angle_alpha 90.00
_cell_angle_beta 90.00
_cell_angle_gamma 90.00
_symmetry_space_group_name_H-M 'I 4/m'
_symmetry_Int_Tables_number 87
_symmetry_space_group_name_Hall '-I 4'
loop_
_atom_site_label
_atom_site_type_symbol
_atom_site_fract_x
_atom_site_fract_y
_atom_site_fract_z
K1 K 0.1043 0.7036 0.0000
Bi1 Bi 0.0000 0.0000 0.5000
F1 F 0.0000 0.5000 0.2500
F2 F 0.0846 0.1636 0.2873
```

## Properties
The raw formation energy comes out at -2278 meV per atom. Its density of states at the Fermi level is 0.919 states/eV per atom.


Entry from Alexandria: an optimized crystal structure of HfMoRu (PBE).

```
data_HfMoRu
_chemical_formula_sum 'Hf8 Mo8 Ru8'
_cell_length_a 5.4374
_cell_length_b 8.7658
_cell_length_c 8.8069
_cell_angle_alpha 90.00
_cell_angle_beta 90.00
_cell_angle_gamma 90.00
_symmetry_space_group_name_H-M 'F m m m'
_symmetry_Int_Tables_number 69
_symmetry_space_group_name_Hall '-F 2 2'
loop_
_atom_site_label
_atom_site_type_symbol
_atom_site_fract_x
_atom_site_fract_y
_atom_site_fract_z
Hf1 Hf 0.0000 0.0000 0.1678
Mo1 Mo 0.0000 0.1458 0.5000
Ru1 Ru 0.2500 0.2500 0.2500
```

## Properties
As for the excess energy over the best structure of this formula in the dataset: 0.274 eV per atom. Its density of states at the Fermi level is 0.952 states/eV per atom. The formation energy is -0.093 eV/atom.


Entry from Alexandria: an optimized crystal structure of LiCeGa4 (PBE).

```
data_LiCeGa4
_chemical_formula_sum 'Li2 Ce2 Ga8'
_cell_length_a 4.3299
_cell_length_b 6.9324
_cell_length_c 7.9254
_cell_angle_alpha 90.00
_cell_angle_beta 90.00
_cell_angle_gamma 90.00
_symmetry_space_group_name_H-M 'I m m m'
_symmetry_Int_Tables_number 71
_symmetry_space_group_name_Hall '-I 2 2'
loop_
_atom_site_label
_atom_site_type_symbol
_atom_site_fract_x
_atom_site_fract_y
_atom_site_fract_z
Li1 Li 0.0000 0.0000 0.0000
Ce1 Ce 0.0000 0.5000 0.0000
Ga1 Ga 0.0000 0.2990 0.3366
```

## Properties
Its density of states at the Fermi level is 1.130 states/eV per atom. The formation energy is -0.406 eV/atom.


Entry from Alexandria: an optimized crystal structure of SrTlReO6 (PBE).

```
data_SrTlReO6
_chemical_formula_sum 'Sr2 Tl2 Re2 O12'
_cell_length_a 5.5130
_cell_length_b 10.1864
_cell_length_c 5.1522
_cell_angle_alpha 90.00
_cell_angle_beta 94.31
_cell_angle_gamma 90.00
_symmetry_space_group_name_H-M 'C 1 2 1'
_symmetry_Int_Tables_number 5
loop_
_symmetry_equiv_pos_as_xyz
'x,y,z'
'-x,y,-z'
'x+1/2,y+1/2,z'
'-x+1/2,y+1/2,-z'
loop_
_atom_site_label
_atom_site_type_symbol
_atom_site_fract_x
_atom_site_fract_y
_atom_site_fract_z
Sr1 Sr 0.0000 0.0000 0.0000
Tl1 Tl 0.0000 0.3360 0.5000
Re1 Re 0.0000 0.6639 0.5000
O1 O 0.1495 0.5458 0.3016
O2 O 0.1610 0.8214 0.3045
O3 O 0.2417 0.1928 0.2567
```

## Properties
The raw formation energy comes out at -1632 meV per atom. Its density of states at the Fermi level is 0.000 states/eV per atom.


Entry from Alexandria: an optimized crystal structure of Eu3NiTe (PBE).

```
data_Eu3NiTe
_chemical_formula_sum 'Eu3 Ni1 Te1'
_cell_length_a 5.4535
_cell_length_b 5.4535
_cell_length_c 5.4535
_cell_angle_alpha 90.00
_cell_angle_beta 90.00
_cell_angle_gamma 90.00
_symmetry_space_group_name_H-M 'P m -3 m'
_symmetry_Int_Tables_number 221
_symmetry_space_group_name_Hall '-P 4 2 3'
loop_
_atom_site_label
_atom_site_type_symbol
_atom_site_fract_x
_atom_site_fract_y
_atom_site_fract_z
Eu1 Eu 0.0000 0.0000 0.5000
Ni1 Ni 0.0000 0.0000 0.0000
Te1 Te 0.5000 0.5000 0.5000
```

## Properties
The raw formation energy comes out at -486 meV per atom. Its density of states at the Fermi level is 0.816 states/eV per atom.


Entry from Alexandria: an optimized crystal structure of SrSnIrO6 (PBE).

```
data_SrSnIrO6
_chemical_formula_sum 'Sr2 Sn2 Ir2 O12'
_cell_length_a 5.3970
_cell_length_b 5.3970
_cell_length_c 10.7465
_cell_angle_alpha 90.00
_cell_angle_beta 90.00
_cell_angle_gamma 120.00
_symmetry_space_group_name_H-M 'P -3 1 c'
_symmetry_Int_Tables_number 163
_symmetry_space_group_name_Hall '-P 3 2c'
loop_
_atom_site_label
_atom_site_type_symbol
_atom_site_fract_x
_atom_site_fract_y
_atom_site_fract_z
Sr1 Sr 0.0000 0.0000 0.0000
Sn1 Sn 0.3333 0.6667 0.2500
Ir1 Ir 0.3333 0.6667 0.7500
O1 O 0.0197 0.3835 0.6470
```

## Properties
The raw formation energy comes out at -1509 meV per atom. Its density of states at the Fermi level is 0.322 states/eV per atom.


Entry from Alexandria: an optimized crystal structure of Nd7AsCl12 (PBE).

```
data_Nd7AsCl12
_chemical_formula_sum 'Nd21 As3 Cl36'
_cell_length_a 14.7998
_cell_length_b 14.7998
_cell_length_c 9.8612
_cell_angle_alpha 90.00
_cell_angle_beta 90.00
_cell_angle_gamma 120.00
_symmetry_space_group_name_H-M 'R -3'
_symmetry_Int_Tables_number 148
_symmetry_space_group_name_Hall '-R 3'
loop_
_atom_site_label
_atom_site_type_symbol
_atom_site_fract_x
_atom_site_fract_y
_atom_site_fract_z
Nd1 Nd 0.0000 0.0000 0.0000
Nd2 Nd 0.0437 0.1718 0.3409
As1 As 0.0000 0.0000 0.5000
Cl1 Cl 0.0260 0.5833 0.1626
Cl2 Cl 0.0445 0.1740 0.8392
```

## Properties
The raw formation energy comes out at -1996 meV per atom. Its density of states at the Fermi level is 0.136 states/eV per atom.


Entry from Alexandria: an optimized crystal structure of Pm4GeI4 (PBE).

```
data_Pm4GeI4
_chemical_formula_sum 'Pm8 Ge2 I8'
_cell_length_a 7.3886
_cell_length_b 7.3886
_cell_length_c 12.4823
_cell_angle_alpha 90.00
_cell_angle_beta 90.00
_cell_angle_gamma 90.00
_symmetry_space_group_name_H-M 'I -4 2 m'
_symmetry_Int_Tables_number 121
_symmetry_space_group_name_Hall 'I -4 2'
loop_
_atom_site_label
_atom_site_type_symbol
_atom_site_fract_x
_atom_site_fract_y
_atom_site_fract_z
Pm1 Pm 0.1962 0.1962 0.1490
Ge1 Ge 0.0000 0.0000 0.0000
I1 I 0.0000 0.0000 0.3437
I2 I 0.0000 0.5000 0.0000
```

## Properties
The raw formation energy comes out at -671 meV per atom. Its density of states at the Fermi level is 0.634 states/eV per atom.


Entry from Alexandria: an optimized crystal structure of YHoAu6 (PBE).

```
data_YHoAu6
_chemical_formula_sum 'Y2 Ho2 Au12'
_cell_length_a 9.1759
_cell_length_b 4.5149
_cell_length_c 9.0133
_cell_angle_alpha 90.00
_cell_angle_beta 119.37
_cell_angle_gamma 90.00
_symmetry_space_group_name_H-M 'C 1 2/m 1'
_symmetry_Int_Tables_number 12
loop_
_symmetry_equiv_pos_as_xyz
'x,y,z'
'-x,-y,-z'
'-x,y,-z'
'x,-y,z'
'x+1/2,y+1/2,z'
'-x+1/2,-y+1/2,-z'
'-x+1/2,y+1/2,-z'
'x+1/2,-y+1/2,z'
loop_
_atom_site_label
_atom_site_type_symbol
_atom_site_fract_x
_atom_site_fract_y
_atom_site_fract_z
Y1 Y 0.0000 0.0000 0.0000
Ho1 Ho 0.0000 0.0000 0.5000
Au1 Au 0.0016 0.5000 0.7500
Au2 Au 0.2486 0.5000 0.6224
Au3 Au 0.2501 0.0000 0.8731
```

## Properties
Its density of states at the Fermi level is 0.428 states/eV per atom. The formation energy is -0.673 eV/atom.


Entry from Alexandria: an optimized crystal structure of K3Ce3RhSe8 (PBE).

```
data_K3Ce3RhSe8
_chemical_formula_sum 'K9 Ce9 Rh3 Se24'
_cell_length_a 8.3495
_cell_length_b 8.3495
_cell_length_c 23.5152
_cell_angle_alpha 90.00
_cell_angle_beta 90.00
_cell_angle_gamma 120.00
_symmetry_space_group_name_H-M 'R -3 m'
_symmetry_Int_Tables_number 166
_symmetry_space_group_name_Hall '-R 3 2"'
loop_
_atom_site_label
_atom_site_type_symbol
_atom_site_fract_x
_atom_site_fract_y
_atom_site_fract_z
K1 K 0.0000 0.5000 0.0000
Ce1 Ce 0.0000 0.5000 0.5000
Rh1 Rh 0.0000 0.0000 0.5000
Se1 Se 0.0000 0.0000 0.2373
Se2 Se 0.0337 0.5169 0.2297
```

## Properties
The raw formation energy comes out at -1388 meV per atom. Its density of states at the Fermi level is 0.933 states/eV per atom.


Entry from Alexandria: an optimized crystal structure of HoZrPb2O6 (PBE).

```
data_HoZrPb2O6
_chemical_formula_sum 'Ho2 Zr2 Pb4 O12'
_cell_length_a 5.8518
_cell_length_b 6.0434
_cell_length_c 10.2681
_cell_angle_alpha 90.00
_cell_angle_beta 124.68
_cell_angle_gamma 90.00
_symmetry_space_group_name_H-M 'P 1 21/c 1'
_symmetry_Int_Tables_number 14
loop_
_symmetry_equiv_pos_as_xyz
'x,y,z'
'-x,-y,-z'
'-x,y+1/2,-z+1/2'
'x,-y+1/2,z+1/2'
loop_
_atom_site_label
_atom_site_type_symbol
_atom_site_fract_x
_atom_site_fract_y
_atom_site_fract_z
Ho1 Ho 0.0000 0.0000 0.0000
Zr1 Zr 0.5000 0.0000 0.5000
Pb1 Pb 0.2408 0.0362 0.7492
O1 O 0.1472 0.1868 0.4475
O2 O 0.2634 0.7030 0.4449
O3 O 0.3663 0.0368 0.2582
```

## Properties
The raw formation energy comes out at -2280 meV per atom. Its density of states at the Fermi level is 0.636 states/eV per atom.


Entry from Alexandria: an optimized crystal structure of LaYAg2 (PBE).

```
data_LaYAg2
_chemical_formula_sum 'La2 Y2 Ag4'
_cell_length_a 11.4020
_cell_length_b 3.5575
_cell_length_c 5.3383
_cell_angle_alpha 90.00
_cell_angle_beta 106.40
_cell_angle_gamma 90.00
_symmetry_space_group_name_H-M 'C 1 m 1'
_symmetry_Int_Tables_number 8
loop_
_symmetry_equiv_pos_as_xyz
'x,y,z'
'x,-y,z'
'x+1/2,y+1/2,z'
'x+1/2,-y+1/2,z'
loop_
_atom_site_label
_atom_site_type_symbol
_atom_site_fract_x
_atom_site_fract_y
_atom_site_fract_z
La1 La 0.0000 0.0000 0.0000
Y1 Y 0.2856 0.5000 0.3663
Ag1 Ag 0.0382 0.5000 0.5237
Ag2 Ag 0.2443 0.0000 0.8260
```

## Properties
Its density of states at the Fermi level is 1.013 states/eV per atom. The formation energy is -0.168 eV/atom.


Entry from Alexandria: an optimized crystal structure of CoRe2As (PBE).

```
data_CoRe2As
_chemical_formula_sum 'Co1 Re2 As1'
_cell_length_a 2.9665
_cell_length_b 2.9665
_cell_length_c 6.2465
_cell_angle_alpha 90.00
_cell_angle_beta 90.00
_cell_angle_gamma 90.00
_symmetry_space_group_name_H-M 'P 4/m m m'
_symmetry_Int_Tables_number 123
_symmetry_space_group_name_Hall '-P 4 2'
loop_
_atom_site_label
_atom_site_type_symbol
_atom_site_fract_x
_atom_site_fract_y
_atom_site_fract_z
Co1 Co 0.0000 0.0000 0.0000
Re1 Re 0.5000 0.5000 0.2469
As1 As 0.0000 0.0000 0.5000
```

## Properties
Its density of states at the Fermi level is 0.743 states/eV per atom. The formation energy is 0.311 eV/atom.


Entry from Alexandria: an optimized crystal structure of Sc2Ir (PBE).

```
data_Sc2Ir
_chemical_formula_sum 'Sc2 Ir1'
_cell_length_a 4.5139
_cell_length_b 4.5139
_cell_length_c 3.1205
_cell_angle_alpha 90.00
_cell_angle_beta 90.00
_cell_angle_gamma 120.00
_symmetry_space_group_name_H-M 'P -3 m 1'
_symmetry_Int_Tables_number 164
_symmetry_space_group_name_Hall '-P 3 2"'
loop_
_atom_site_label
_atom_site_type_symbol
_atom_site_fract_x
_atom_site_fract_y
_atom_site_fract_z
Sc1 Sc 0.3333 0.6667 0.2959
Ir1 Ir 0.0000 0.0000 0.0000
```

## Properties
Its density of states at the Fermi level is 0.979 states/eV per atom. The formation energy is -0.598 eV/atom.